# 1
Computed, not measured: an optimized crystal structure of Tb8Cu2Pd at the PBE level of DFT.

Calculated values
Its symmetry is C2/m, No. 12. The calculation puts the energy of formation from the pure elements at -0.216 eV per atom. For the mass density, the calculation gives 8.65 g cm⁻³. The calculation puts the total DFT energy (no corrections) at -4.801 eV per atom.

Cell lengths 5.084, 6.726, 9.103 Å; angles 104.26, 106.21, 90.00 degrees
Positions (direct):
Tb: 0.409 0.546 0.818
Tb: 0.668 0.981 0.336
Tb: 0.591 0.454 0.182
Tb: 0.332 0.019 0.664
Tb: 0.968 0.218 0.935
Tb: 0.032 0.782 0.065
Tb: 0.799 0.665 0.599
Tb: 0.201 0.335 0.401
Cu: 0.814 0.265 0.627
Cu: 0.186 0.735 0.373
Pd: 0.500 0.000 0.000



# 2
Computed, not measured: an optimized crystal structure of TbCuPd at the PBE level of DFT.

Calculated values
Its symmetry is P-6m2, No. 187. The calculation puts the energy of formation from the pure elements at -0.573 eV per atom. For the mass density, the calculation gives 9.27 g cm⁻³. The calculation puts the total DFT energy (no corrections) at -5.213 eV per atom.

Cell lengths 3.573, 4.364, 4.364 Å; angles 120.00, 90.00, 90.00 degrees
Positions (direct):
Cu: 0.167 0.000 0.000
Pd: 0.167 0.333 0.667
Tb: 0.667 0.667 0.333



Q: Which value of energy of formation from the pure elements does entry 1 give?
A: -0.216 eV per atom